No. 1
{"formula": "Sc2CrGaN", "functional": "GGA-PBE", "state": "relaxed", "e_tot_ev_per_cell": -37.925, "m_tot_mub_per_fu": 0.00, "cell": [[4.4652, 0.0000, 0.0000], [0.0000, 4.4652, 0.0000], [0.0000, 0.0000, 3.7425]], "species": ["Sc", "Sc", "Cr", "Ga", "N"], "frac_coords": [[0.0000, 0.5000, 0.0000], [0.5000, 0.0000, 0.0000], [0.0000, 0.0000, 0.5000], [0.5000, 0.5000, 0.5000], [0.0000, 0.0000, 0.0000]]}

No. 2
{"formula": "CePuNp", "functional": "GGA-PBE", "state": "relaxed", "m_tot_mub_per_fu": 0.06, "formation_enthalpy_0k_ev_per_atom": 0.25, "polymorph_energy_ev_per_fu": 0.00, "cell": [[-1.6317, 1.6317, 6.1252], [1.6317, -1.6317, 6.1252], [1.6317, 1.6317, -6.1252]], "species": ["Ce", "Pu", "Np"], "frac_coords": [[0.0000, 0.0000, 0.0000], [0.2936, 0.2936, 0.0000], [0.7136, 0.7136, 0.0000]]}

No. 3
{"formula": "La2TaSbPt", "functional": "GGA-PBE", "state": "relaxed", "e_tot_ev_per_cell": -31.297, "m_tot_mub_per_fu": 0.00, "cell": [[5.7057, 0.0000, 0.0000], [0.0000, 5.7057, 0.0000], [0.0000, 0.0000, 4.8014]], "species": ["La", "La", "Ta", "Sb", "Pt"], "frac_coords": [[0.0000, 0.5000, 0.0000], [0.5000, 0.0000, 0.0000], [0.0000, 0.0000, 0.0000], [0.5000, 0.5000, 0.5000], [0.0000, 0.0000, 0.5000]]}

No. 4
{"formula": "ScIrCl2", "functional": "GGA-PBE", "state": "relaxed", "m_tot_mub_per_fu": 1.79, "polymorph_energy_ev_per_fu": 2.70, "cell": [[2.9829, 0.0000, 0.0000], [0.0000, 2.9829, 0.0000], [0.0000, 0.0000, 10.3739]], "species": ["Sc", "Ir", "Cl", "Cl"], "frac_coords": [[0.0000, 0.0000, 0.0000], [0.0000, 0.0000, 0.5000], [0.5000, 0.5000, 0.1505], [0.5000, 0.5000, 0.8495]]}

No. 5
{"formula": "NpMn2Tl3Se6", "functional": "GGA-PBE", "state": "relaxed", "e_tot_ev_per_cell": -66.514, "m_tot_mub_per_fu": 12.00, "cell": [[3.4199, -5.9076, 0.0000], [3.4199, 5.9076, 0.0000], [-2.2791, 0.0000, 7.7763]], "species": ["Np", "Mn", "Mn", "Tl", "Tl", "Tl", "Se", "Se", "Se", "Se", "Se", "Se"], "frac_coords": [[0.0000, 0.0000, 0.0000], [0.3330, 0.6670, 0.0000], [0.6670, 0.3330, 0.0000], [0.1617, 0.8383, 0.5000], [0.5000, 0.5000, 0.5000], [0.8383, 0.1617, 0.5000], [0.0639, 0.4114, 0.1939], [0.2847, 0.2847, 0.8092], [0.4114, 0.0639, 0.1939], [0.5886, 0.9361, 0.8061], [0.7153, 0.7153, 0.1908], [0.9361, 0.5886, 0.8061]]}

No. 6
{"formula": "CaMg4Sn", "functional": "GGA-PBE", "state": "relaxed", "m_tot_mub_per_fu": 0.00, "formation_enthalpy_0k_ev_per_atom": -0.08, "cell": [[0.0000, 4.2717, 4.2717], [4.2717, 0.0000, 4.2717], [4.2717, 4.2717, 0.0000]], "species": ["Ca", "Mg", "Mg", "Mg", "Mg", "Sn"], "frac_coords": [[0.0000, 0.0000, 0.0000], [0.1261, 0.6246, 0.6246], [0.6246, 0.1261, 0.6246], [0.6246, 0.6246, 0.1261], [0.6246, 0.6246, 0.6246], [0.2500, 0.2500, 0.2500]]}

No. 7
{"formula": "ZnAsI2", "functional": "GGA-PBE", "state": "relaxed", "m_tot_mub_per_fu": 0.00, "polymorph_energy_ev_per_fu": 0.63, "cell": [[0.0000, 3.7568, 3.7568], [3.7568, 0.0000, 3.7568], [3.7568, 3.7568, 0.0000]], "species": ["Zn", "As", "I", "I"], "frac_coords": [[0.0000, 0.0000, 0.0000], [0.5000, 0.5000, 0.5000], [0.2500, 0.2500, 0.2500], [0.7500, 0.7500, 0.7500]]}

No. 8
{"formula": "Tb3ErAu4", "functional": "GGA-PBE", "state": "relaxed", "m_tot_mub_per_fu": 0.00, "formation_enthalpy_0k_ev_per_atom": -0.86, "polymorph_energy_ev_per_fu": 0.00, "cell": [[3.5989, 0.0000, 0.0000], [0.0000, 3.5989, 0.0000], [0.0000, 0.0000, 14.4374]], "species": ["Tb", "Tb", "Tb", "Er", "Au", "Au", "Au", "Au"], "frac_coords": [[0.0000, 0.0000, 0.0000], [0.0000, 0.0000, 0.2517], [0.0000, 0.0000, 0.7483], [0.0000, 0.0000, 0.5000], [0.5000, 0.5000, 0.1253], [0.5000, 0.5000, 0.3794], [0.5000, 0.5000, 0.6206], [0.5000, 0.5000, 0.8747]]}

No. 9
{"formula": "PuScAlRu", "functional": "GGA-PBE", "state": "relaxed", "m_tot_mub_per_fu": 4.96, "formation_enthalpy_0k_ev_per_atom": -0.24, "cell": [[0.0000, 3.3883, 3.3883], [3.3883, 0.0000, 3.3883], [3.3883, 3.3883, 0.0000]], "species": ["Pu", "Sc", "Al", "Ru"], "frac_coords": [[0.0000, 0.0000, 0.0000], [0.5000, 0.5000, 0.5000], [0.7500, 0.7500, 0.7500], [0.2500, 0.2500, 0.2500]]}

No. 10
{"formula": "CaPtSe3", "functional": "GGA-PBE", "state": "relaxed", "m_tot_mub_per_fu": 0.00, "polymorph_energy_ev_per_fu": 0.00, "cell": [[5.0275, 0.0000, 0.0000], [0.0000, 5.0275, 0.0000], [0.0000, 0.0000, 5.0275]], "species": ["Ca", "Pt", "Se", "Se", "Se"], "frac_coords": [[0.0000, 0.0000, 0.0000], [0.5000, 0.5000, 0.5000], [0.0000, 0.5000, 0.5000], [0.5000, 0.0000, 0.5000], [0.5000, 0.5000, 0.0000]]}

No. 11
{"formula": "KScS2N", "functional": "GGA-PBE", "state": "relaxed", "m_tot_mub_per_fu": 2.48, "polymorph_energy_ev_per_fu": 0.00, "cell": [[5.0618, 0.0000, 0.0000], [0.0000, 5.0618, 0.0000], [0.0000, 0.0000, 4.4232]], "species": ["K", "Sc", "S", "S", "N"], "frac_coords": [[0.0000, 0.0000, 0.0000], [0.5000, 0.5000, 0.5000], [0.0000, 0.5000, 0.5000], [0.5000, 0.0000, 0.5000], [0.5000, 0.5000, 0.0000]]}

No. 12
{"formula": "HfThC2", "functional": "GGA-PBE", "state": "relaxed", "m_tot_mub_per_fu": 0.00, "formation_enthalpy_0k_ev_per_atom": 0.38, "polymorph_energy_ev_per_fu": 3.47, "cell": [[2.2773, 1.3148, 3.2729], [-2.2773, 1.3148, 3.2729], [0.0000, -2.6296, 3.2729]], "species": ["Hf", "Th", "C", "C"], "frac_coords": [[0.0000, 0.0000, 0.0000], [0.5000, 0.5000, 0.5000], [0.2434, 0.2434, 0.2434], [0.7566, 0.7566, 0.7566]]}

No. 13
{"formula": "RbNiH8Ir2", "functional": "GGA-PBE", "state": "relaxed", "e_tot_ev_per_cell": -51.633, "m_tot_mub_per_fu": 0.00, "cell": [[2.3421, 1.3522, 6.7749], [-2.3421, 1.3522, 6.7749], [0.0000, -2.7044, 6.7749]], "species": ["Rb", "Ni", "H", "H", "H", "H", "H", "H", "H", "H", "Ir", "Ir"], "frac_coords": [[0.0000, 0.0000, 0.0000], [0.5000, 0.5000, 0.5000], [0.1473, 0.4479, 0.7594], [0.2406, 0.8527, 0.5521], [0.2741, 0.2741, 0.2741], [0.4479, 0.7594, 0.1473], [0.5521, 0.2406, 0.8527], [0.7259, 0.7259, 0.7259], [0.7594, 0.1473, 0.4479], [0.8527, 0.5521, 0.2406], [0.1958, 0.1958, 0.1958], [0.8042, 0.8042, 0.8042]]}

No. 14
{"formula": "Li4Pu3PdO12", "functional": "GGA-PBE", "state": "relaxed", "e_tot_ev_per_cell": -155.196, "m_tot_mub_per_fu": 5.20, "cell": [[5.6680, 3.2724, 2.6169], [-5.6680, 3.2724, 2.6169], [0.0000, -6.5448, 2.6169]], "species": ["Li", "Li", "Li", "Li", "Pu", "Pu", "Pu", "Pd", "O", "O", "O", "O", "O", "O", "O", "O", "O", "O", "O", "O"], "frac_coords": [[0.0000, 0.0000, 0.0000], [0.0000, 0.4393, 0.5607], [0.4393, 0.5607, 0.0000], [0.5607, 0.0000, 0.4393], [0.0583, 0.9417, 0.5000], [0.5000, 0.0583, 0.9417], [0.9417, 0.5000, 0.0583], [0.5000, 0.5000, 0.5000], [0.0000, 0.6091, 0.3909], [0.0000, 0.8349, 0.1651], [0.1429, 0.2462, 0.5494], [0.1651, 0.0000, 0.8349], [0.2462, 0.5494, 0.1429], [0.3909, 0.0000, 0.6091], [0.4506, 0.7538, 0.8571], [0.5494, 0.1429, 0.2462], [0.6091, 0.3909, 0.0000], [0.7538, 0.8571, 0.4506], [0.8349, 0.1651, 0.0000], [0.8571, 0.4506, 0.7538]]}

No. 15
{"formula": "MgBi", "functional": "GGA-PBE", "state": "relaxed", "m_tot_mub_per_fu": 0.00, "formation_enthalpy_0k_ev_per_atom": 0.11, "cell": [[-5.4247, 5.4247, 2.3136], [5.4247, -5.4247, 2.3136], [5.4247, 5.4247, -2.3136]], "species": ["Mg", "Mg", "Mg", "Mg", "Bi", "Bi", "Bi", "Bi"], "frac_coords": [[0.0594, 0.1870, 0.2463], [0.1870, 0.9406, 0.1276], [0.8130, 0.0594, 0.8724], [0.9406, 0.8130, 0.7537], [0.1649, 0.6607, 0.8256], [0.3393, 0.1649, 0.5042], [0.6607, 0.8351, 0.4958], [0.8351, 0.3393, 0.1744]]}

No. 16
{"formula": "Nd12Ga2Hg5", "functional": "GGA-PBE", "state": "relaxed", "m_tot_mub_per_fu": 0.00, "formation_enthalpy_0k_ev_per_atom": -0.18, "cell": [[8.6507, -3.6934, 0.0000], [8.6507, 3.6934, 0.0000], [-1.9574, 0.0000, 9.8337]], "species": ["Nd", "Nd", "Nd", "Nd", "Nd", "Nd", "Nd", "Nd", "Nd", "Nd", "Nd", "Nd", "Ga", "Ga", "Hg", "Hg", "Hg", "Hg", "Hg"], "frac_coords": [[0.0129, 0.0129, 0.2938], [0.0763, 0.5772, 0.8917], [0.1055, 0.6022, 0.4217], [0.3978, 0.8945, 0.5783], [0.4228, 0.9237, 0.1083], [0.4736, 0.4736, 0.1777], [0.5264, 0.5264, 0.8223], [0.5772, 0.0763, 0.8917], [0.6022, 0.1055, 0.4217], [0.8945, 0.3978, 0.5783], [0.9237, 0.4228, 0.1083], [0.9871, 0.9871, 0.7062], [0.1733, 0.8267, 0.0000], [0.8267, 0.1733, 0.0000], [0.1669, 0.1669, 0.8496], [0.2046, 0.2046, 0.3671], [0.5000, 0.5000, 0.5000], [0.7954, 0.7954, 0.6329], [0.8331, 0.8331, 0.1504]]}

No. 17
{"formula": "TaZn2", "functional": "GGA-PBE", "state": "relaxed", "m_tot_mub_per_fu": 0.00, "formation_enthalpy_0k_ev_per_atom": 0.06, "cell": [[5.0846, -1.3695, 0.0000], [5.0846, 1.3695, 0.0000], [-2.4862, 0.0000, 6.7465]], "species": ["Ta", "Ta", "Zn", "Zn", "Zn", "Zn"], "frac_coords": [[0.1654, 0.1654, 0.1112], [0.8346, 0.8346, 0.8888], [0.1528, 0.1528, 0.5379], [0.4667, 0.4667, 0.2445], [0.5333, 0.5333, 0.7555], [0.8472, 0.8472, 0.4621]]}

No. 18
{"formula": "OsPtC3", "functional": "GGA-PBE", "state": "relaxed", "m_tot_mub_per_fu": 0.00, "formation_enthalpy_0k_ev_per_atom": 2.94, "polymorph_energy_ev_per_fu": 4.28, "cell": [[3.9460, 0.0000, 0.0000], [0.0000, 3.9460, 0.0000], [0.0000, 0.0000, 3.9460]], "species": ["Os", "Pt", "C", "C", "C"], "frac_coords": [[0.0000, 0.0000, 0.0000], [0.5000, 0.5000, 0.5000], [0.0000, 0.5000, 0.5000], [0.5000, 0.0000, 0.5000], [0.5000, 0.5000, 0.0000]]}

No. 19
{"formula": "KMn2P", "functional": "GGA-PBE", "state": "relaxed", "m_tot_mub_per_fu": 7.54, "formation_enthalpy_0k_ev_per_atom": 0.32, "cell": [[-2.6629, 2.6629, 7.6490], [2.6629, -2.6629, 7.6490], [2.6629, 2.6629, -7.6490]], "species": ["K", "K", "Mn", "Mn", "Mn", "Mn", "P", "P"], "frac_coords": [[0.3750, 0.6250, 0.7500], [0.6250, 0.3750, 0.2500], [0.0000, 0.0000, 0.0000], [0.0000, 0.0000, 0.5000], [0.0000, 0.5000, 0.0000], [0.5000, 0.0000, 0.5000], [0.1250, 0.8750, 0.2500], [0.8750, 0.1250, 0.7500]]}

No. 20
{"formula": "PrNd2Sm6Tm3", "functional": "GGA-PBE", "state": "relaxed", "m_tot_mub_per_fu": 0.00, "formation_enthalpy_0k_ev_per_atom": 0.02, "cell": [[3.1300, -5.4217, 0.0000], [3.1300, 5.4217, 0.0000], [-2.0848, 0.0000, 11.7510]], "species": ["Pr", "Nd", "Nd", "Sm", "Sm", "Sm", "Sm", "Sm", "Sm", "Tm", "Tm", "Tm"], "frac_coords": [[0.0000, 0.0000, 0.0000], [0.3334, 0.6666, 0.0000], [0.6666, 0.3334, 0.0000], [0.0854, 0.4189, 0.2558], [0.2482, 0.2482, 0.7441], [0.4189, 0.0854, 0.2558], [0.5811, 0.9146, 0.7442], [0.7518, 0.7518, 0.2559], [0.9146, 0.5811, 0.7442], [0.1668, 0.8332, 0.5000], [0.5000, 0.5000, 0.5000], [0.8332, 0.1668, 0.5000]]}